Entry 1:
# Nd2Sm5Dy PBE relaxed
data_Nd2Sm5Dy
_cell_length_a 7.2654
_cell_length_b 14.5392
_cell_length_c 5.1216
_cell_angle_alpha 90.00
_cell_angle_beta 90.00
_cell_angle_gamma 90.00
_space_group_name_H-M_alt 'P b a m'
_space_group_IT_number 55
loop_
_space_group_symop_operation_xyz
'x,y,z'
'-x,-y,-z'
'-x,-y,z'
'x,y,-z'
'x+1/2,-y+1/2,-z'
'-x+1/2,y+1/2,z'
'-x+1/2,y+1/2,-z'
'x+1/2,-y+1/2,z'
loop_
_atom_site_label
_atom_site_fract_x
_atom_site_fract_y
_atom_site_fract_z
Nd1 0.2491 0.1245 0.0000
Sm1 0.0000 0.5000 0.5000
Sm2 0.0010 0.7507 0.5000
Sm3 0.2493 0.3753 0.0000
Dy1 0.0000 0.0000 0.5000
# * calculated volume: 541 Å³ per cell
# * DFT total energy: -4.70 eV per atom
# * density of states at the Fermi level: 23.2 states/eV/cell
# * M_tot: 0.0 μB/cell

Entry 2:
# NdSm2Dy3 PBE relaxed
data_NdSm2Dy3
_cell_length_a 9.5280
_cell_length_b 13.2334
_cell_length_c 6.4041
_cell_angle_alpha 90.00
_cell_angle_beta 90.00
_cell_angle_gamma 90.00
_space_group_name_H-M_alt 'C m c 21'
_space_group_IT_number 36
loop_
_space_group_symop_operation_xyz
'x,y,z'
'-x,-y,z+1/2'
'-x,y,z'
'x,-y,z+1/2'
'x+1/2,y+1/2,z'
'-x+1/2,-y+1/2,z+1/2'
'-x+1/2,y+1/2,z'
'x+1/2,-y+1/2,z+1/2'
loop_
_atom_site_label
_atom_site_fract_x
_atom_site_fract_y
_atom_site_fract_z
Nd1 0.0000 0.1758 0.0000
Sm1 0.1818 0.4415 0.2239
Dy1 0.0000 0.0820 0.4743
Dy2 0.1825 0.3052 0.6797
# * calculated volume: 807 Å³ per cell
# * DFT total energy: -4.45 eV per atom
# * density of states at the Fermi level: 37.1 states/eV/cell
# * M_tot: 0.0 μB/cell

Entry 3:
# Nd5Sm2Dy2 PBE relaxed
data_Nd5Sm2Dy2
_cell_length_a 15.0932
_cell_length_b 11.9686
_cell_length_c 6.8499
_cell_angle_alpha 90.00
_cell_angle_beta 90.00
_cell_angle_gamma 90.00
_space_group_name_H-M_alt 'I m a 2'
_space_group_IT_number 46
loop_
_space_group_symop_operation_xyz
'x,y,z'
'-x,-y,z'
'-x+1/2,y,z'
'x+1/2,-y,z'
'x+1/2,y+1/2,z+1/2'
'-x+1/2,-y+1/2,z+1/2'
'-x,y+1/2,z+1/2'
'x,-y+1/2,z+1/2'
loop_
_atom_site_label
_atom_site_fract_x
_atom_site_fract_y
_atom_site_fract_z
Nd1 0.0501 0.2348 0.0000
Nd2 0.1444 0.7281 0.6724
Nd3 0.2500 0.2353 0.6883
Sm1 0.0000 0.0000 0.3471
Sm2 0.2500 0.5022 0.8790
Dy1 0.1281 0.5086 0.3359
# * calculated volume: 1237 Å³ per cell
# * DFT total energy: -4.51 eV per atom
# * density of states at the Fermi level: 50.6 states/eV/cell
# * M_tot: 0.0 μB/cell

Entry 4:
# Nd2SmDy PBE relaxed
data_Nd2SmDy
_cell_length_a 4.2598
_cell_length_b 4.2598
_cell_length_c 7.4923
_cell_angle_alpha 90.00
_cell_angle_beta 90.00
_cell_angle_gamma 90.00
_space_group_name_H-M_alt 'P 4/m m m'
_space_group_IT_number 123
_space_group_name_Hall '-P 4 2'
loop_
_atom_site_label
_atom_site_fract_x
_atom_site_fract_y
_atom_site_fract_z
Nd1 0.0000 0.0000 0.2451
Sm1 0.5000 0.5000 0.5000
Dy1 0.5000 0.5000 0.0000
# * calculated volume: 136 Å³ per cell
# * DFT total energy: -4.61 eV per atom
# * density of states at the Fermi level: 8.4 states/eV/cell
# * M_tot: 0.0 μB/cell

Entry 5:
# Nd3SmDy6 PBE relaxed
data_Nd3SmDy6
_cell_length_a 11.5918
_cell_length_b 6.6094
_cell_length_c 9.7147
_cell_angle_alpha 90.00
_cell_angle_beta 114.68
_cell_angle_gamma 90.00
_space_group_name_H-M_alt 'C 1 2/m 1'
_space_group_IT_number 12
loop_
_space_group_symop_operation_xyz
'x,y,z'
'-x,-y,-z'
'-x,y,-z'
'x,-y,z'
'x+1/2,y+1/2,z'
'-x+1/2,-y+1/2,-z'
'-x+1/2,y+1/2,-z'
'x+1/2,-y+1/2,z'
loop_
_atom_site_label
_atom_site_fract_x
_atom_site_fract_y
_atom_site_fract_z
Nd1 0.0000 0.0000 0.0000
Nd2 0.0694 0.0000 0.6982
Sm1 0.0000 0.5000 0.5000
Dy1 0.1372 0.5000 0.9211
Dy2 0.1859 0.2537 0.3111
# * calculated volume: 676 Å³ per cell
# * DFT total energy: -4.44 eV per atom
# * density of states at the Fermi level: 36.6 states/eV/cell
# * M_tot: 0.0 μB/cell

Entry 6:
# Nd5Sm3Dy4 PBE relaxed
data_Nd5Sm3Dy4
_cell_length_a 6.2744
_cell_length_b 7.2372
_cell_length_c 8.8710
_cell_angle_alpha 90.06
_cell_angle_beta 90.05
_cell_angle_gamma 90.03
_space_group_name_H-M_alt 'P -1'
_space_group_IT_number 2
loop_
_space_group_symop_operation_xyz
'x,y,z'
'-x,-y,-z'
loop_
_atom_site_label
_atom_site_fract_x
_atom_site_fract_y
_atom_site_fract_z
Nd1 0.0000 0.0000 0.0000
Nd2 0.3319 0.5003 0.3351
Nd3 0.4991 0.7517 0.9999
Sm1 0.0000 0.5000 0.0000
Sm2 0.1663 0.2479 0.6648
Dy1 0.1672 0.7522 0.6649
Dy2 0.3339 0.0004 0.3358
# * calculated volume: 403 Å³ per cell
# * DFT total energy: -4.69 eV per atom
# * density of states at the Fermi level: 15.8 states/eV/cell
# * M_tot: 0.0 μB/cell

Entry 7:
# Nd4SmDy6 PBE relaxed
data_Nd4SmDy6
_cell_length_a 6.6937
_cell_length_b 6.6937
_cell_length_c 17.0006
_cell_angle_alpha 90.00
_cell_angle_beta 90.00
_cell_angle_gamma 90.00
_space_group_name_H-M_alt 'I -4 2 m'
_space_group_IT_number 121
_space_group_name_Hall 'I -4 2'
loop_
_atom_site_label
_atom_site_fract_x
_atom_site_fract_y
_atom_site_fract_z
Nd1 0.1902 0.1902 0.3242
Sm1 0.0000 0.0000 0.5000
Dy1 0.0000 0.5000 0.0000
Dy2 0.1774 0.1774 0.1242
# * calculated volume: 762 Å³ per cell
# * DFT total energy: -4.37 eV per atom
# * density of states at the Fermi level: 29.8 states/eV/cell
# * M_tot: 0.0 μB/cell

Entry 8:
# Nd2Sm2Dy PBE relaxed
data_Nd2Sm2Dy
_cell_length_a 16.3604
_cell_length_b 6.1959
_cell_length_c 6.8978
_cell_angle_alpha 90.00
_cell_angle_beta 101.88
_cell_angle_gamma 90.00
_space_group_name_H-M_alt 'C 1 2/c 1'
_space_group_IT_number 15
loop_
_space_group_symop_operation_xyz
'x,y,z'
'-x,-y,-z'
'-x,y,-z+1/2'
'x,-y,z+1/2'
'x+1/2,y+1/2,z'
'-x+1/2,-y+1/2,-z'
'-x+1/2,y+1/2,-z+1/2'
'x+1/2,-y+1/2,z+1/2'
loop_
_atom_site_label
_atom_site_fract_x
_atom_site_fract_y
_atom_site_fract_z
Nd1 0.1955 0.0520 0.0777
Sm1 0.0956 0.4217 0.6452
Dy1 0.0000 0.0710 0.2500
# * calculated volume: 684 Å³ per cell
# * DFT total energy: -4.65 eV per atom
# * density of states at the Fermi level: 33.6 states/eV/cell
# * M_tot: 0.0 μB/cell

Entry 9:
# Nd2SmDy9 PBE relaxed
data_Nd2SmDy9
_cell_length_a 5.0499
_cell_length_b 5.0499
_cell_length_c 15.1511
_cell_angle_alpha 90.00
_cell_angle_beta 90.00
_cell_angle_gamma 90.00
_space_group_name_H-M_alt 'P 4/m m m'
_space_group_IT_number 123
_space_group_name_Hall '-P 4 2'
loop_
_atom_site_label
_atom_site_fract_x
_atom_site_fract_y
_atom_site_fract_z
Nd1 0.0000 0.0000 0.1669
Sm1 0.0000 0.0000 0.5000
Dy1 0.0000 0.5000 0.0000
Dy2 0.0000 0.5000 0.3341
Dy3 0.5000 0.5000 0.1671
Dy4 0.5000 0.5000 0.5000
# * calculated volume: 386 Å³ per cell
# * DFT total energy: -4.62 eV per atom
# * density of states at the Fermi level: 17.4 states/eV/cell
# * M_tot: 0.0 μB/cell

Entry 10:
# Nd4Sm2Dy5 PBE relaxed
data_Nd4Sm2Dy5
_cell_length_a 3.5248
_cell_length_b 9.2771
_cell_length_c 23.1541
_cell_angle_alpha 90.00
_cell_angle_beta 90.00
_cell_angle_gamma 90.00
_space_group_name_H-M_alt 'I m m m'
_space_group_IT_number 71
_space_group_name_Hall '-I 2 2'
loop_
_atom_site_label
_atom_site_fract_x
_atom_site_fract_y
_atom_site_fract_z
Nd1 0.0000 0.0000 0.0961
Nd2 0.0000 0.2956 0.5000
Sm1 0.0000 0.0000 0.2306
Dy1 0.0000 0.1965 0.3542
Dy2 0.0000 0.5000 0.0000
# * calculated volume: 757 Å³ per cell
# * DFT total energy: -4.43 eV per atom
# * density of states at the Fermi level: 31.9 states/eV/cell
# * M_tot: 0.0 μB/cell

Entry 11:
# Nd2Sm7Dy3 PBE relaxed
data_Nd2Sm7Dy3
_cell_length_a 6.4363
_cell_length_b 3.5650
_cell_length_c 17.6816
_cell_angle_alpha 90.00
_cell_angle_beta 96.06
_cell_angle_gamma 90.00
_space_group_name_H-M_alt 'P 1 2/m 1'
_space_group_IT_number 10
loop_
_space_group_symop_operation_xyz
'x,y,z'
'-x,-y,-z'
'-x,y,-z'
'x,-y,z'
loop_
_atom_site_label
_atom_site_fract_x
_atom_site_fract_y
_atom_site_fract_z
Nd1 0.0592 0.0000 0.1712
Sm1 0.0000 0.5000 0.5000
Sm2 0.2268 0.0000 0.6684
Sm3 0.2574 0.0000 0.9975
Sm4 0.2769 0.5000 0.3356
Dy1 0.4524 0.5000 0.8410
Dy2 0.5000 0.0000 0.5000
# * calculated volume: 403 Å³ per cell
# * DFT total energy: -4.63 eV per atom
# * density of states at the Fermi level: 18.1 states/eV/cell
# * M_tot: 0.0 μB/cell

Entry 12:
# Nd3Sm5Dy4 PBE relaxed
data_Nd3Sm5Dy4
_cell_length_a 16.2119
_cell_length_b 5.9929
_cell_length_c 9.3470
_cell_angle_alpha 90.00
_cell_angle_beta 116.07
_cell_angle_gamma 90.00
_space_group_name_H-M_alt 'C 1 2/m 1'
_space_group_IT_number 12
loop_
_space_group_symop_operation_xyz
'x,y,z'
'-x,-y,-z'
'-x,y,-z'
'x,-y,z'
'x+1/2,y+1/2,z'
'-x+1/2,-y+1/2,-z'
'-x+1/2,y+1/2,-z'
'x+1/2,-y+1/2,z'
loop_
_atom_site_label
_atom_site_fract_x
_atom_site_fract_y
_atom_site_fract_z
Nd1 0.0000 0.0000 0.0000
Nd2 0.2080 0.5000 0.2278
Sm1 0.0000 0.5000 0.0000
Sm2 0.0752 0.0000 0.6983
Sm3 0.1730 0.0000 0.3877
Dy1 0.0817 0.5000 0.4417
Dy2 0.2113 0.5000 0.8767
# * calculated volume: 816 Å³ per cell
# * DFT total energy: -4.47 eV per atom
# * density of states at the Fermi level: 38.7 states/eV/cell
# * M_tot: 0.0 μB/cell

The records above give, respectively, energy of formation from the pure elements values of 0.12, 1.29, 1.87, 0.44, 2.25, 0.17, 3.32, 0.35, 0.24, 2.80, 0.83, 2.64 eV/f.u..